18
Lattice="5.343 0.000 0.000 -2.671 4.627 0.000 0.000 0.000 9.780" Properties=species:S:1:pos:R:3 comment="PBE+U YHfMoO6, relaxed" sg="P-31c (163)" final_energy_ev_per_atom=-8.669 pbc="T T T"
Y 0.000 0.000 0.000
Y 0.000 0.000 4.890
Hf 0.000 3.085 2.445
Hf 2.671 1.542 7.335
Mo 0.000 3.085 7.335
Mo 2.671 1.542 2.445
O -0.899 1.662 6.236
O -1.681 3.017 8.434
O 0.899 1.662 8.434
O -0.782 4.574 6.236
O 1.889 0.053 1.346
O 0.990 1.610 3.544
O 1.681 3.017 6.236
O 0.782 4.574 8.434
O 3.454 0.053 3.544
O 1.773 2.965 1.346
O 4.352 1.610 1.346
O 3.570 2.965 3.544